No. 1
Computed, not measured: Rb2AcCd after structural relaxation at the GGA-PBE level of DFT.

It has space group R-3m (No. 166, hexagonal axes), with a = 4.0468 Å, b = 4.0468 Å, c = 42.6266 Å, α = 90.00°, β = 90.00° and γ = 120.00°. The inequivalent atoms are Rb at (0.0000, 0.0000, 0.0952), Ac at (0.0000, 0.0000, 0.0000) and Cd at (0.0000, 0.0000, 0.5000).

Its crystal system is trigonal. Its total energy is -1.455 eV per atom. The calculation puts the volume at 605 Å³ per cell.

---

No. 2
Computed, not measured: TmVOs2 after structural relaxation at the GGA-PBE level of DFT.

It has space group Fm-3m (No. 225), with a = 6.3691 Å, b = 6.3691 Å, c = 6.3691 Å, α = 90.00°, β = 90.00° and γ = 90.00°. The inequivalent atoms are Tm at (0.0000, 0.0000, 0.0000), V at (0.0000, 0.0000, 0.5000) and Os at (0.2500, 0.2500, 0.2500).

Its distance to the lowest polymorph of the same formula is 113.4 meV/atom. Its crystal system is cubic. Its total energy is -9.110 eV per atom. The calculation puts the volume at 258 Å³ per cell.

---

No. 3
Computed, not measured: RbTl4Pd after structural relaxation at the GGA-PBE level of DFT.

It has space group Pmma (No. 51), with a = 9.8790 Å, b = 4.0015 Å, c = 9.3637 Å, α = 90.00°, β = 90.00° and γ = 90.00°. The inequivalent atoms are Rb at (0.2500, 0.0000, 0.0777), Tl at (0.0000, 0.0000, 0.5000), Tl at (0.0687, 0.5000, 0.7844), Tl at (0.2500, 0.5000, 0.4127) and Pd at (0.2500, 0.0000, 0.6546).

Its distance to the lowest polymorph of the same formula is 0.0 meV/atom. Its crystal system is orthorhombic. Its total energy is -2.728 eV per atom. The calculation puts the volume at 370 Å³ per cell.

---

No. 4
Computed, not measured: NaSiB after structural relaxation at the GGA-PBE level of DFT.

It has space group R3m (No. 160, hexagonal axes), with a = 3.4788 Å, b = 3.4788 Å, c = 14.4022 Å, α = 90.00°, β = 90.00° and γ = 120.00°. The inequivalent atoms are Na at (0.0000, 0.0000, 0.0000), Si at (0.0000, 0.0000, 0.4887) and B at (0.0000, 0.0000, 0.8152).

As for the formation energy (no corrections): 49 meV per atom. Its crystal system is trigonal. Its total energy is -4.424 eV per atom. The calculation puts the volume at 151 Å³ per cell.

---

No. 5
Computed, not measured: Mg2ZrRe after structural relaxation at the GGA-PBE level of DFT.

It has space group I-4m2 (No. 119), with a = 4.7314 Å, b = 4.7314 Å, c = 6.6674 Å, α = 90.00°, β = 90.00° and γ = 90.00°. The inequivalent atoms are Mg at (0.0000, 0.0000, 0.0000), Mg at (0.0000, 0.5000, 0.2500), Zr at (0.0000, 0.0000, 0.5000) and Re at (0.0000, 0.5000, 0.7500).

Its distance to the lowest polymorph of the same formula is 94.0 meV/atom. Its crystal system is tetragonal. Its total energy is -5.851 eV per atom. The calculation puts the volume at 149 Å³ per cell.

---

No. 6
Computed, not measured: CaTl2Hg4 after structural relaxation at the GGA-PBE level of DFT.

It has space group Cmmm (No. 65), with a = 6.2664 Å, b = 13.5654 Å, c = 5.0662 Å, α = 90.00°, β = 90.00° and γ = 90.00°. The inequivalent atoms are Ca at (0.0000, 0.0000, 0.0000), Tl at (0.0000, 0.3861, 0.5000), Hg at (0.0000, 0.1358, 0.5000) and Hg at (0.0000, 0.2564, 0.0000).

Its distance to the lowest polymorph of the same formula is 35.3 meV/atom. Its crystal system is orthorhombic. Its total energy is -1.229 eV per atom. The calculation puts the volume at 431 Å³ per cell.

---

No. 7
Computed, not measured: Rb2Cu2SnI6 after structural relaxation at the GGA-PBE level of DFT.

It has space group C2/m (No. 12), with a = 14.1971 Å, b = 8.5186 Å, c = 9.1304 Å, α = 90.00°, β = 119.14° and γ = 90.00°. The inequivalent atoms are Rb at (0.2174, 0.0000, 0.2034), Cu at (0.0439, 0.5000, 0.2537), Sn at (0.0000, 0.0000, 0.5000), I at (0.0563, 0.2437, 0.8016) and I at (0.2480, 0.5000, 0.3712).

As for the formation energy (no corrections): -700 meV per atom. Its crystal system is monoclinic. Its total energy is -2.830 eV per atom. The calculation puts the volume at 964 Å³ per cell.

---

No. 8
Computed, not measured: PtIBr3 after structural relaxation at the GGA-PBE level of DFT.

It has space group Cc (No. 9), with a = 7.3691 Å, b = 15.7621 Å, c = 6.5225 Å, α = 90.00°, β = 98.47° and γ = 90.00°. The inequivalent atoms are Pt at (0.0000, 0.0592, 0.0000), I at (0.2797, 0.3208, 0.6098), Br at (0.1932, 0.0595, 0.3487), Br at (0.2068, 0.1697, 0.8884) and Br at (0.3082, 0.4433, 0.1499).

As for the formation energy (no corrections): -193 meV per atom. Its distance to the lowest polymorph of the same formula is 0.0 meV/atom. Its crystal system is monoclinic. Its total energy is -2.715 eV per atom. The calculation puts the volume at 749 Å³ per cell.

---

Respective spin magnetization values: 0.000 0.000 0.000 0.000 0.000 0.000 0.000 0.000 μB/atom.